(1)
Material: BeHg3Ru
Method: DFT, PBE-GGA
State: relaxed

Cell: 4.6367 4.6367 4.6367 Å, 90.00 90.00 90.00°
Last column: nearest neighbours and their distance in Å.
Fractional coordinates of all 5 atoms:
Be (0.0000, 0.0000, 0.0000)  6 Hg 2.32
Hg (0.0000, 0.0000, 0.5000)  2 Be 2.32
Hg (0.0000, 0.5000, 0.0000)  2 Be 2.32
Hg (0.5000, 0.0000, 0.0000)  2 Be 2.32
Ru (0.5000, 0.5000, 0.5000)  12 Hg 3.28

Results
As for the total energy: -9.420 eV/cell. The calculation puts the formation energy at 4.49 eV per formula unit. For the energy above the most stable polymorph in this dataset, the calculation gives 0.00 eV per formula unit. The calculation puts the volume at 19.94 Å³/atom.

(2)
Material: La4In12Ag
Method: DFT, PBE-GGA
State: relaxed

Cell: 8.3923 8.3923 8.3923 Å, 109.47 109.47 109.47°
Last column: nearest neighbours and their distance in Å.
Fractional coordinates of all 17 atoms:
La (0.0000, 0.0000, 0.5000)  12 In 3.43-3.45
La (0.0000, 0.5000, 0.0000)  12 In 3.43-3.45
La (0.5000, 0.0000, 0.0000)  12 In 3.43-3.45
La (0.5000, 0.5000, 0.5000)  12 In 3.43-3.45
In (0.0000, 0.2917, 0.2917)  1 Ag 2.83, 4 In 3.15
In (0.0000, 0.7083, 0.7083)  1 Ag 2.83, 4 In 3.15
In (0.2500, 0.5000, 0.7500)  8 In 3.15-3.43, 4 La 3.43
In (0.2500, 0.7500, 0.5000)  8 In 3.15-3.43, 4 La 3.43
In (0.2917, 0.0000, 0.2917)  1 Ag 2.83, 4 In 3.15
In (0.2917, 0.2917, 0.0000)  1 Ag 2.83, 4 In 3.15
In (0.5000, 0.2500, 0.7500)  8 In 3.15-3.43, 4 La 3.43
In (0.5000, 0.7500, 0.2500)  8 In 3.15-3.43, 4 La 3.43
In (0.7083, 0.0000, 0.7083)  1 Ag 2.83, 4 In 3.15
In (0.7083, 0.7083, 0.0000)  1 Ag 2.83, 4 In 3.15
In (0.7500, 0.2500, 0.5000)  8 In 3.15-3.43, 4 La 3.43
In (0.7500, 0.5000, 0.2500)  8 In 3.15-3.43, 4 La 3.43
Ag (0.0000, 0.0000, 0.0000)  6 In 2.83

Results
As for the total energy: -63.036 eV/cell. The calculation puts the formation energy at -7.61 eV per formula unit. The calculation puts the volume at 26.77 Å³/atom.

(3)
Material: Hg3SeF4
Method: DFT, PBE-GGA
State: relaxed

Cell: 6.7617 6.7617 9.4193 Å, 108.94 108.94 56.40°
Last column: nearest neighbours and their distance in Å.
Fractional coordinates of all 16 atoms:
Hg (0.0054, 0.9946, 0.5000)  1 F 2.16
Hg (0.3375, 0.3539, 0.2981)  3 F 2.25-2.44, 1 Se 2.51
Hg (0.3539, 0.3375, 0.7981)  3 F 2.25-2.44, 1 Se 2.51
Hg (0.5799, 0.6407, 0.1948)  1 F 2.16
Hg (0.6407, 0.5799, 0.6948)  1 F 2.16
Hg (0.9946, 0.0054, 0.0000)  1 F 2.16
Se (0.0084, 0.3853, 0.5792)  3 Hg 2.51
Se (0.3853, 0.0084, 0.0792)  3 Hg 2.51
F (0.2363, 0.5596, 0.0370)  3 Hg 2.37-2.60
F (0.2702, 0.7827, 0.7256)  1 Hg 2.16
F (0.3980, 0.6708, 0.4018)  1 Hg 2.25
F (0.5596, 0.2363, 0.5370)  3 Hg 2.37-2.60
F (0.6708, 0.3980, 0.9018)  1 Hg 2.25
F (0.6913, 0.9562, 0.8714)  1 Hg 2.16
F (0.7827, 0.2702, 0.2256)  1 Hg 2.16
F (0.9562, 0.6913, 0.3714)  1 Hg 2.16

Results
As for the total energy: -42.612 eV/cell. The raw formation energy comes out at -9.4 eV/f.u. The calculation puts the volume at 20.84 Å³/atom.

(4)
Material: Ir2WBr
Method: DFT, PBE-GGA
State: relaxed

Cell: 2.8569 2.8569 29.0315 Å, 90.00 90.00 120.00°
Last column: nearest neighbours and their distance in Å.
Fractional coordinates of all 12 atoms:
Ir (0.0000, 0.0000, 0.2393)  3 W 2.68, 6 Ir 2.86
Ir (0.0000, 0.0000, 0.7607)  3 W 2.68, 6 Ir 2.86
Ir (0.3333, 0.6667, 0.4273)  3 W 2.68, 6 Ir 2.86
Ir (0.3333, 0.6667, 0.9060)  3 W 2.68, 6 Ir 2.86
Ir (0.6667, 0.3333, 0.0940)  3 W 2.68, 6 Ir 2.86
Ir (0.6667, 0.3333, 0.5727)  3 W 2.68, 6 Ir 2.86
W (0.0000, 0.0000, 0.5000)  6 Ir 2.68, 6 W 2.86
W (0.3333, 0.6667, 0.1667)  6 Ir 2.68, 6 W 2.86
W (0.6667, 0.3333, 0.8333)  6 Ir 2.68, 6 W 2.86
Br (0.0000, 0.0000, 0.0000)  6 Br 2.86, 6 Ir 3.19
Br (0.3333, 0.6667, 0.6667)  6 Br 2.86, 6 Ir 3.19
Br (0.6667, 0.3333, 0.3333)  6 Br 2.86, 6 Ir 3.19

Results
As for the total energy: -92.725 eV/cell. For the energy above the most stable polymorph in this dataset, the calculation gives 0.43 eV per formula unit. The raw formation energy comes out at 1.4 eV/f.u. The calculation puts the volume at 17.10 Å³/atom.

Which of these has the lowest total energy? Ir2WBr